(1)
Material: AlRePt2
Method: DFT, PBE
State: optimized geometry

excess energy over the best structure of this formula in the dataset = 57 kJ/mol of formula units
E_form = -1.14 eV per formula unit
crystal system = orthorhombic

Cell lengths 2.7863, 4.5400, 9.6124 Å; angles 90.00, 90.00, 90.00 degrees
Atoms (fractional coordinates):
Al 0.0000 0.0000 0.0000
Al 0.5000 0.5000 0.5000
Re 0.0000 0.5000 0.2734
Re 0.5000 0.0000 0.7734
Pt 0.0000 0.0000 0.5105
Pt 0.0000 0.5000 0.7173
Pt 0.5000 0.0000 0.2173
Pt 0.5000 0.5000 0.0105

=====

(2)
Material: AlRePt2
Method: DFT, PBE
State: optimized geometry

excess energy over the best structure of this formula in the dataset = 221 kJ/mol of formula units
E_form = 0.56 eV per formula unit
crystal system = tetragonal

Cell lengths 3.8498, 3.8498, 17.8310 Å; angles 90.00, 90.00, 90.00 degrees
Atoms (fractional coordinates):
Al 0.0000 0.0000 0.0000
Al 0.0000 0.5000 0.2500
Al 0.5000 0.0000 0.7500
Al 0.5000 0.5000 0.5000
Re 0.0000 0.0000 0.5000
Re 0.0000 0.5000 0.7500
Re 0.5000 0.0000 0.2500
Re 0.5000 0.5000 0.0000
Pt 0.2478 0.2500 0.1250
Pt 0.2500 0.7478 0.3750
Pt 0.2500 0.7522 0.8750
Pt 0.2522 0.2500 0.6250
Pt 0.7478 0.7500 0.6250
Pt 0.7500 0.2478 0.8750
Pt 0.7500 0.2522 0.3750
Pt 0.7522 0.7500 0.1250

=====

(3)
Material: AlRePt
Method: DFT, PBE
State: optimized geometry

excess energy over the best structure of this formula in the dataset = 0 kJ/mol of formula units
E_form = -1.00 eV per formula unit
crystal system = tetragonal

Cell lengths 2.7433, 2.7433, 11.7832 Å; angles 90.00, 90.00, 90.00 degrees
Atoms (fractional coordinates):
Al 0.0000 0.0000 0.0000
Al 0.5000 0.5000 0.5000
Re 0.0000 0.0000 0.3345
Re 0.5000 0.5000 0.8345
Pt 0.0000 0.0000 0.6637
Pt 0.5000 0.5000 0.1637

=====

(4)
Material: AlRe2Pt
Method: DFT, PBE
State: optimized geometry

excess energy over the best structure of this formula in the dataset = 729 kJ/mol of formula units
E_form = 6.36 eV per formula unit
crystal system = tetragonal

Cell lengths 5.8949, 5.8949, 10.4618 Å; angles 90.00, 90.00, 90.00 degrees
Atoms (fractional coordinates):
Al 0.0000 0.0000 0.0000
Al 0.0000 0.5000 0.2500
Al 0.5000 0.0000 0.7500
Al 0.5000 0.5000 0.5000
Re 0.2372 0.2500 0.6250
Re 0.2500 0.7372 0.8750
Re 0.2500 0.7628 0.3750
Re 0.2628 0.2500 0.1250
Re 0.7372 0.7500 0.1250
Re 0.7500 0.2372 0.3750
Re 0.7500 0.2628 0.8750
Re 0.7628 0.7500 0.6250
Pt 0.0000 0.0000 0.5000
Pt 0.0000 0.5000 0.7500
Pt 0.5000 0.0000 0.2500
Pt 0.5000 0.5000 0.0000

=====

(5)
Material: AlRe2Pt
Method: DFT, PBE
State: optimized geometry

excess energy over the best structure of this formula in the dataset = 82 kJ/mol of formula units
E_form = -0.35 eV per formula unit
crystal system = tetragonal

Cell lengths 3.7935, 3.7935, 8.2711 Å; angles 90.00, 90.00, 90.00 degrees
Atoms (fractional coordinates):
Al 0.0000 0.0000 0.0000
Al 0.5000 0.5000 0.5000
Re 0.0000 0.5000 0.2500
Re 0.0000 0.5000 0.7500
Re 0.5000 0.0000 0.2500
Re 0.5000 0.0000 0.7500
Pt 0.0000 0.0000 0.5000
Pt 0.5000 0.5000 0.0000

=====

(6)
Material: AlRe2Pt
Method: DFT, PBE
State: optimized geometry

excess energy over the best structure of this formula in the dataset = 58 kJ/mol of formula units
E_form = -0.60 eV per formula unit
crystal system = monoclinic

Cell lengths 9.3506, 2.7780, 4.6670 Å; angles 90.00, 100.02, 90.00 degrees
Atoms (fractional coordinates):
Al 0.0000 0.0000 0.0000
Al 0.5000 0.5000 0.0000
Re 0.2499 0.0000 0.7543
Re 0.2501 0.5000 0.2457
Re 0.7501 0.0000 0.2457
Re 0.7499 0.5000 0.7543
Pt 0.0000 0.5000 0.5000
Pt 0.5000 0.0000 0.5000

=====

(7)
Material: AlRePt2
Method: DFT, PBE
State: optimized geometry

excess energy over the best structure of this formula in the dataset = 80 kJ/mol of formula units
E_form = -0.90 eV per formula unit
crystal system = tetragonal

Cell lengths 3.9698, 3.9698, 7.6181 Å; angles 90.00, 90.00, 90.00 degrees
Atoms (fractional coordinates):
Al 0.0000 0.0000 0.0000
Al 0.5000 0.5000 0.5000
Re 0.0000 0.5000 0.2500
Re 0.5000 0.0000 0.7500
Pt 0.0000 0.0000 0.5000
Pt 0.0000 0.5000 0.7500
Pt 0.5000 0.0000 0.2500
Pt 0.5000 0.5000 0.0000

=====

(8)
Material: Al8RePt2
Method: DFT, PBE
State: optimized geometry

E_form = -5.72 eV per formula unit
crystal system = orthorhombic

Cell lengths 7.2400, 7.2400, 7.2400 Å; angles 147.77, 120.97, 68.87 degrees
Atoms (fractional coordinates):
Al 0.1103 0.3409 0.7694
Al 0.1478 0.1478 0.0000
Al 0.2906 0.0000 0.2906
Al 0.4285 0.6591 0.7694
Al 0.5715 0.3409 0.2306
Al 0.7094 0.0000 0.7094
Al 0.8522 0.8522 0.0000
Al 0.8897 0.6591 0.2306
Re 0.0000 0.5000 0.5000
Pt 0.3199 0.8199 0.5000
Pt 0.6801 0.1801 0.5000

=====

(9)
Material: AlRePt2
Method: DFT, PBE
State: optimized geometry

excess energy over the best structure of this formula in the dataset = 25 kJ/mol of formula units
E_form = -1.47 eV per formula unit
crystal system = orthorhombic

Cell lengths 5.4628, 7.9513, 2.7549 Å; angles 90.00, 90.00, 90.00 degrees
Atoms (fractional coordinates):
Al 0.0000 0.0000 0.0000
Al 0.5000 0.5000 0.0000
Re 0.0000 0.5000 0.0000
Re 0.5000 0.0000 0.0000
Pt 0.2500 0.2500 0.5000
Pt 0.2500 0.7500 0.5000
Pt 0.7500 0.2500 0.5000
Pt 0.7500 0.7500 0.5000

=====

(10)
Material: AlRe2Pt
Method: DFT, PBE
State: optimized geometry

excess energy over the best structure of this formula in the dataset = 100 kJ/mol of formula units
E_form = -0.16 eV per formula unit
crystal system = orthorhombic

Cell lengths 5.2235, 8.2960, 2.7632 Å; angles 90.00, 90.00, 90.00 degrees
Atoms (fractional coordinates):
Al 0.0000 0.0000 0.0000
Al 0.5000 0.5000 0.0000
Re 0.2500 0.2500 0.5000
Re 0.2500 0.7500 0.5000
Re 0.7500 0.2500 0.5000
Re 0.7500 0.7500 0.5000
Pt 0.0000 0.5000 0.0000
Pt 0.5000 0.0000 0.0000

=====

(11)
Material: AlRe2Pt
Method: DFT, PBE
State: optimized geometry

excess energy over the best structure of this formula in the dataset = 10 kJ/mol of formula units
E_form = -1.09 eV per formula unit
crystal system = trigonal

Cell lengths 2.8050, 2.8050, 26.3351 Å; angles 90.00, 90.00, 120.00 degrees
Atoms (fractional coordinates):
Al 0.0000 0.0000 0.0000
Al 0.3333 0.6667 0.6667
Al 0.6667 0.3333 0.3333
Re 0.0000 0.0000 0.4961
Re 0.0000 0.0000 0.7497
Re 0.3333 0.6667 0.1627
Re 0.3333 0.6667 0.4163
Re 0.6667 0.3333 0.0830
Re 0.6667 0.3333 0.8294
Pt 0.0000 0.0000 0.2544
Pt 0.3333 0.6667 0.9210
Pt 0.6667 0.3333 0.5877

=====

(12)
Material: Al4RePt
Method: DFT, PBE
State: optimized geometry

E_form = 0.27 eV per formula unit
crystal system = cubic

Cell lengths 4.9909, 4.9909, 4.9909 Å; angles 60.00, 60.00, 60.00 degrees
Atoms (fractional coordinates):
Al 0.1250 0.1250 0.1250
Al 0.1250 0.1250 0.6250
Al 0.1250 0.6250 0.1250
Al 0.6250 0.1250 0.1250
Re 0.5000 0.5000 0.5000
Pt 0.7500 0.7500 0.7500

=====

(13)
Material: AlRe2Pt
Method: DFT, PBE
State: optimized geometry

excess energy over the best structure of this formula in the dataset = 101 kJ/mol of formula units
E_form = -0.16 eV per formula unit
crystal system = orthorhombic

Cell lengths 2.8268, 4.0994, 5.1930 Å; angles 90.00, 90.00, 90.00 degrees
Atoms (fractional coordinates):
Al 0.0000 0.0000 0.0000
Re 0.5000 0.5000 0.2353
Re 0.5000 0.5000 0.7647
Pt 0.0000 0.0000 0.5000

=====

(14)
Material: AlRe2Pt
Method: DFT, PBE
State: optimized geometry

excess energy over the best structure of this formula in the dataset = 76 kJ/mol of formula units
E_form = -0.41 eV per formula unit
crystal system = orthorhombic

Cell lengths 3.2644, 4.1169, 4.4583 Å; angles 90.00, 90.00, 90.00 degrees
Atoms (fractional coordinates):
Al 0.0000 0.0000 0.0000
Re 0.0000 0.5000 0.5000
Re 0.5000 0.0000 0.5000
Pt 0.5000 0.5000 0.0000

=====

(15)
Material: AlRe2Pt
Method: DFT, PBE
State: optimized geometry

excess energy over the best structure of this formula in the dataset = 160 kJ/mol of formula units
E_form = 0.46 eV per formula unit
crystal system = tetragonal

Cell lengths 4.6759, 4.6759, 2.7530 Å; angles 90.00, 90.00, 90.00 degrees
Atoms (fractional coordinates):
Al 0.0000 0.0000 0.0000
Re 0.0000 0.5000 0.5000
Re 0.5000 0.0000 0.5000
Pt 0.5000 0.5000 0.0000

=====

(16)
Material: AlRePt2
Method: DFT, PBE
State: optimized geometry

excess energy over the best structure of this formula in the dataset = 34 kJ/mol of formula units
E_form = -1.37 eV per formula unit
crystal system = monoclinic

Cell lengths 2.7737, 3.9706, 5.4443 Å; angles 90.00, 90.19, 90.00 degrees
Atoms (fractional coordinates):
Al 0.0000 0.0000 0.0000
Re 0.0000 0.0000 0.5000
Pt 0.4978 0.5000 0.2521
Pt 0.5022 0.5000 0.7479

=====

(17)
Material: AlRePt2
Method: DFT, PBE
State: optimized geometry

excess energy over the best structure of this formula in the dataset = 0 kJ/mol of formula units
E_form = -1.73 eV per formula unit
crystal system = tetragonal

Cell lengths 2.7719, 2.7719, 7.7259 Å; angles 90.00, 90.00, 90.00 degrees
Atoms (fractional coordinates):
Al 0.0000 0.0000 0.0000
Re 0.0000 0.0000 0.5000
Pt 0.5000 0.5000 0.2400
Pt 0.5000 0.5000 0.7600

=====

(18)
Material: ScAlRe2Pt
Method: DFT, PBE
State: optimized geometry

E_form = 3.87 eV per formula unit
crystal system = tetragonal

Cell lengths 4.5173, 4.5173, 4.4951 Å; angles 90.00, 90.00, 90.00 degrees
Atoms (fractional coordinates):
Sc 0.0000 0.0000 0.0000
Al 0.5000 0.5000 0.5000
Re 0.0000 0.5000 0.5000
Re 0.5000 0.0000 0.5000
Pt 0.5000 0.5000 0.0000

=====

(19)
Material: AlReSn2Pt
Method: DFT, PBE
State: optimized geometry

excess energy over the best structure of this formula in the dataset = 0 kJ/mol of formula units
E_form = 4.81 eV per formula unit
crystal system = tetragonal

Cell lengths 5.1779, 5.1779, 4.6393 Å; angles 90.00, 90.00, 90.00 degrees
Atoms (fractional coordinates):
Al 0.0000 0.0000 0.0000
Re 0.5000 0.5000 0.0000
Sn 0.0000 0.5000 0.5000
Sn 0.5000 0.0000 0.5000
Pt 0.0000 0.0000 0.5000

=====

(20)
Material: AlReSn2Pt
Method: DFT, PBE
State: optimized geometry

excess energy over the best structure of this formula in the dataset = 58 kJ/mol of formula units
E_form = 5.41 eV per formula unit
crystal system = tetragonal

Cell lengths 5.0350, 5.0350, 5.2513 Å; angles 90.00, 90.00, 90.00 degrees
Atoms (fractional coordinates):
Al 0.0000 0.0000 0.0000
Re 0.5000 0.5000 0.0000
Sn 0.0000 0.5000 0.5000
Sn 0.5000 0.0000 0.5000
Pt 0.5000 0.5000 0.5000

=====

(21)
Material: SrAlRePt2
Method: DFT, PBE
State: optimized geometry

E_form = 11.34 eV per formula unit
crystal system = tetragonal

Cell lengths 5.1638, 5.1638, 5.2861 Å; angles 90.00, 90.00, 90.00 degrees
Atoms (fractional coordinates):
Sr 0.0000 0.0000 0.0000
Al 0.0000 0.0000 0.5000
Re 0.5000 0.5000 0.5000
Pt 0.0000 0.5000 0.0000
Pt 0.5000 0.0000 0.0000

=====

(22)
Material: Al2ReTePt
Method: DFT, PBE
State: optimized geometry

crystal system = tetragonal
formation energy (no corrections) = 1778.5 meV/atom

Cell lengths 5.1609, 5.1609, 4.9320 Å; angles 90.00, 90.00, 90.00 degrees
Atoms (fractional coordinates):
Al 0.0000 0.5000 0.0000
Al 0.5000 0.0000 0.0000
Re 0.0000 0.0000 0.5000
Te 0.5000 0.5000 0.0000
Pt 0.5000 0.5000 0.5000

=====

(23)
Material: AlVRePt
Method: DFT, PBE
State: optimized geometry

E_form = -1.75 eV per formula unit
crystal system = cubic

Cell lengths 6.1200, 6.1200, 6.1200 Å; angles 90.00, 90.00, 90.00 degrees
Atoms (fractional coordinates):
Al 0.0000 0.0000 0.0000
Al 0.0000 0.5000 0.5000
Al 0.5000 0.0000 0.5000
Al 0.5000 0.5000 0.0000
V 0.0000 0.0000 0.5000
V 0.0000 0.5000 0.0000
V 0.5000 0.0000 0.0000
V 0.5000 0.5000 0.5000
Re 0.2500 0.2500 0.2500
Re 0.2500 0.7500 0.7500
Re 0.7500 0.2500 0.7500
Re 0.7500 0.7500 0.2500
Pt 0.2500 0.2500 0.7500
Pt 0.2500 0.7500 0.2500
Pt 0.7500 0.2500 0.2500
Pt 0.7500 0.7500 0.7500

=====

(24)
Material: Al8Pt2Rh
Method: DFT, PBE
State: optimized geometry

E_form = -6.73 eV per formula unit
crystal system = orthorhombic

Cell lengths 7.2337, 7.2337, 7.2337 Å; angles 147.83, 121.04, 68.77 degrees
Atoms (fractional coordinates):
Al 0.1084 0.3401 0.7683
Al 0.1508 0.1508 0.0000
Al 0.2937 0.0000 0.2937
Al 0.4281 0.6599 0.7683
Al 0.5719 0.3401 0.2317
Al 0.7063 0.0000 0.7063
Al 0.8492 0.8492 0.0000
Al 0.8916 0.6599 0.2317
Pt 0.3178 0.8178 0.5000
Pt 0.6822 0.1822 0.5000
Rh 0.0000 0.5000 0.5000

=====

(25)
Material: AlPt8Rh6
Method: DFT, PBE
State: optimized geometry

E_form = -0.40 eV per formula unit
crystal system = trigonal

Cell lengths 7.3020, 7.3020, 7.3020 Å; angles 53.41, 53.41, 53.41 degrees
Atoms (fractional coordinates):
Al 0.0000 0.0000 0.0000
Pt 0.1774 0.1774 0.1774
Pt 0.2176 0.7110 0.3935
Pt 0.2890 0.6065 0.7824
Pt 0.3935 0.2176 0.7110
Pt 0.6065 0.7824 0.2890
Pt 0.7110 0.3935 0.2176
Pt 0.7824 0.2890 0.6065
Pt 0.8226 0.8226 0.8226
Rh 0.0722 0.5533 0.2621
Rh 0.2621 0.0722 0.5533
Rh 0.4467 0.7379 0.9278
Rh 0.5533 0.2621 0.0722
Rh 0.7379 0.9278 0.4467
Rh 0.9278 0.4467 0.7379

=====

(26)
Material: Al3Pt2Rh
Method: DFT, PBE
State: optimized geometry

E_form = -5.89 eV per formula unit
crystal system = tetragonal

Cell lengths 3.0167, 3.0167, 9.4598 Å; angles 90.00, 90.00, 90.00 degrees
Atoms (fractional coordinates):
Al 0.0000 0.0000 0.0000
Al 0.0000 0.0000 0.3407
Al 0.0000 0.0000 0.6593
Pt 0.5000 0.5000 0.1721
Pt 0.5000 0.5000 0.8279
Rh 0.5000 0.5000 0.5000

=====

(27)
Material: Al3PtRh
Method: DFT, PBE
State: optimized geometry

excess energy over the best structure of this formula in the dataset = 0 kJ/mol of formula units
E_form = -0.39 eV per formula unit
crystal system = cubic

Cell lengths 4.5764, 4.5764, 4.5764 Å; angles 90.00, 90.00, 90.00 degrees
Atoms (fractional coordinates):
Al 0.0000 0.0000 0.5000
Al 0.0000 0.5000 0.0000
Al 0.5000 0.0000 0.0000
Pt 0.5000 0.5000 0.5000
Rh 0.0000 0.0000 0.0000

=====

(28)
Material: Al5PtRh4
Method: DFT, PBE
State: optimized geometry

E_form = -10.56 eV per formula unit
crystal system = tetragonal

Cell lengths 2.9764, 2.9764, 15.5679 Å; angles 90.00, 90.00, 90.00 degrees
Atoms (fractional coordinates):
Al 0.0000 0.0000 0.0000
Al 0.0000 0.0000 0.1965
Al 0.0000 0.0000 0.3937
Al 0.0000 0.0000 0.6063
Al 0.0000 0.0000 0.8035
Pt 0.5000 0.5000 0.5000
Rh 0.5000 0.5000 0.0976
Rh 0.5000 0.5000 0.2944
Rh 0.5000 0.5000 0.7056
Rh 0.5000 0.5000 0.9024